No. 1
Density functional theory data (PBE) for an optimized crystal structure of K2YSc.

a = 3.410 Å, b = 6.923 Å, c = 6.819 Å
α = 90.00°, β = 90.00°, γ = 90.00°
Each line ends with the local moment (μB).
Fractional coordinates of all 4 atoms:
Sc  0.500  0.500  0.250  0.43
K  0.000  0.000  0.497  0.00
K  0.000  0.000  0.003  0.00
Y  0.500  0.500  0.750  0.06

Output
Density = 2.187 Mg/m³
Offset from the most stable computed form = 0.353 eV/atom
Energy = -3.07 eV per atom

***

No. 2
Density functional theory data (PBE) for an optimized crystal structure of K2YSc.

a = 7.904 Å, b = 7.904 Å, c = 7.904 Å
α = 153.06°, β = 135.63°, γ = 52.67°
Fractional coordinates of all 4 atoms:
Y  0.250  0.750  0.500
K  0.515  0.515  0.000
K  0.985  0.985  0.000
Sc  0.750  0.250  0.500

Output
Density = 2.262 Mg/m³
Offset from the most stable computed form = 0.254 eV/atom
Energy = -3.17 eV per atom

***

No. 3
Density functional theory data (PBE) for an optimized crystal structure of KYSc2.

a = 6.919 Å, b = 6.919 Å, c = 6.919 Å
α = 150.27°, β = 128.26°, γ = 60.82°
Each line ends with the local moment (μB).
Fractional coordinates of all 4 atoms:
Y  0.480  0.480  0.000  0.09
Sc  0.238  0.738  0.500  0.02
Sc  0.023  0.023  0.000  -0.12
K  0.759  0.259  0.500  0.00

Output
Density = 2.829 Mg/m³
Offset from the most stable computed form = 0.235 eV/atom
Energy = -4.53 eV per atom

***

No. 4
Density functional theory data (PBE) for an optimized crystal structure of KYSc2.

a = 6.144 Å, b = 6.144 Å, c = 6.144 Å
α = 131.41°, β = 131.41°, γ = 71.15°
Each line ends with the local moment (μB).
Fractional coordinates of all 4 atoms:
K  0.750  0.250  0.500  0.02
Sc  0.000  0.000  0.000  0.44
Sc  0.250  0.750  0.500  0.44
Y  0.500  0.500  0.000  0.30

Output
Density = 2.833 Mg/m³
Offset from the most stable computed form = 0.340 eV/atom
Energy = -4.43 eV per atom

***

No. 5
Density functional theory data (PBE) for an optimized crystal structure of KYSc2.

a = 12.519 Å, b = 12.519 Å, c = 12.519 Å
α = 15.94°, β = 15.94°, γ = 15.94°
Each line ends with the local moment (μB).
Fractional coordinates of all 4 atoms:
Y  0.250  0.250  0.250  0.02
Sc  0.989  0.989  0.989  0.09
Sc  0.511  0.511  0.511  0.09
K  0.750  0.750  0.750  0.01

Output
Density = 2.804 Mg/m³
Offset from the most stable computed form = 0.055 eV/atom
Energy = -4.71 eV per atom

***

No. 6
Density functional theory data (PBE) for an optimized crystal structure of KYSc2.

a = 12.821 Å, b = 12.821 Å, c = 12.821 Å
α = 15.36°, β = 15.36°, γ = 15.36°
Fractional coordinates of all 4 atoms:
K  0.000  0.000  0.000
Sc  0.095  0.095  0.095
Sc  0.905  0.905  0.905
Y  0.500  0.500  0.500

Output
Density = 2.811 Mg/m³
Offset from the most stable computed form = 0.078 eV/atom
Energy = -4.69 eV per atom

***

No. 7
Density functional theory data (PBE) for an optimized crystal structure of KYSc2.

a = 5.982 Å, b = 5.982 Å, c = 3.542 Å
α = 90.00°, β = 90.00°, γ = 90.00°
Each line ends with the local moment (μB).
Fractional coordinates of all 4 atoms:
Sc  0.500  0.500  0.000  0.26
Sc  0.000  0.000  0.000  0.26
K  0.000  0.500  0.500  0.01
Y  0.500  0.000  0.500  0.11

Output
Density = 2.856 Mg/m³
Offset from the most stable computed form = 0.305 eV/atom
Energy = -4.46 eV per atom

***

No. 8
Density functional theory data (PBE) for an optimized crystal structure of K2YSc.

a = 3.418 Å, b = 3.418 Å, c = 13.797 Å
α = 90.00°, β = 90.00°, γ = 90.00°
Each line ends with the local moment (μB).
Fractional coordinates of all 4 atoms:
K  0.000  0.000  0.492  0.01
K  0.000  0.000  0.008  0.01
Sc  0.500  0.500  0.250  0.50
Y  0.500  0.500  0.750  0.06

Output
Density = 2.185 Mg/m³
Offset from the most stable computed form = 0.355 eV/atom
Energy = -3.07 eV per atom

***

No. 9
Density functional theory data (PBE) for an optimized crystal structure of KYSc2.

a = 5.618 Å, b = 5.618 Å, c = 5.618 Å
α = 60.00°, β = 60.00°, γ = 60.00°
Fractional coordinates of all 4 atoms:
K  0.500  0.500  0.500
Sc  0.000  0.000  0.000
Sc  0.250  0.250  0.250
Y  0.750  0.750  0.750

Output
Density = 2.886 Mg/m³
Offset from the most stable computed form = 0.362 eV/atom
Energy = -4.41 eV per atom

***

No. 10
Density functional theory data (PBE) for an optimized crystal structure of KYSc2.

a = 3.731 Å, b = 3.730 Å, c = 10.654 Å
α = 69.53°, β = 90.00°, γ = 90.00°
Fractional coordinates of all 4 atoms:
Sc  0.000  0.927  0.072
Sc  0.500  0.263  0.236
Y  0.000  0.571  0.428
K  0.500  0.739  0.763

Output
Density = 2.606 Mg/m³
Offset from the most stable computed form = 0.000 eV/atom
Energy = -4.77 eV per atom

***

No. 11
Density functional theory data (PBE) for an optimized crystal structure of K2YSc.

a = 3.674 Å, b = 6.009 Å, c = 7.025 Å
α = 90.00°, β = 90.00°, γ = 90.00°
Each line ends with the local moment (μB).
Fractional coordinates of all 4 atoms:
K  0.500  0.500  0.000  0.00
K  0.000  0.000  0.000  0.00
Sc  0.500  0.000  0.500  0.12
Y  0.000  0.500  0.500  0.07

Output
Density = 2.270 Mg/m³
Offset from the most stable computed form = 0.261 eV/atom
Energy = -3.16 eV per atom

***

No. 12
Density functional theory data (PBE) for an optimized crystal structure of K2YSc.

a = 6.163 Å, b = 6.163 Å, c = 6.163 Å
α = 60.00°, β = 60.00°, γ = 60.00°
Each line ends with the local moment (μB).
Fractional coordinates of all 4 atoms:
K  0.250  0.250  0.250  0.01
K  0.750  0.750  0.750  0.01
Sc  0.000  0.000  0.000  0.60
Y  0.500  0.500  0.500  0.34

Output
Density = 2.127 Mg/m³
Offset from the most stable computed form = 0.584 eV/atom
Energy = -2.84 eV per atom

***

No. 13
Density functional theory data (PBE) for an optimized crystal structure of KYSc2.

a = 6.224 Å, b = 6.224 Å, c = 6.224 Å
α = 132.62°, β = 132.62°, γ = 69.25°
Each line ends with the local moment (μB).
Fractional coordinates of all 4 atoms:
Sc  0.500  0.500  0.000  0.45
Sc  0.000  0.000  0.000  0.45
Y  0.250  0.750  0.500  0.31
K  0.750  0.250  0.500  0.01

Output
Density = 2.825 Mg/m³
Offset from the most stable computed form = 0.345 eV/atom
Energy = -4.42 eV per atom

***

No. 14
Density functional theory data (PBE) for an optimized crystal structure of K2ScZn.

a = 10.609 Å, b = 10.609 Å, c = 4.521 Å
α = 78.02°, β = 78.02°, γ = 18.76°
Fractional coordinates of all 4 atoms:
Sc  0.750  0.750  0.750
K  0.598  0.598  0.399
K  0.902  0.902  0.101
Zn  0.250  0.250  0.250

Output
Density = 1.957 Mg/m³
Energy = -2.23 eV per atom

***

No. 15
Density functional theory data (PBE) for an optimized crystal structure of K2ScZn.

a = 7.622 Å, b = 7.622 Å, c = 7.622 Å
α = 153.02°, β = 129.13°, γ = 58.52°
Each line ends with the local moment (μB).
Fractional coordinates of all 4 atoms:
Zn  0.277  0.777  0.500  0.01
K  0.745  0.245  0.500  0.00
K  0.047  0.047  0.000  0.00
Sc  0.431  0.431  0.000  0.14

Output
Density = 2.022 Mg/m³
Energy = -2.06 eV per atom

***

No. 16
Density functional theory data (PBE) for an optimized crystal structure of K2ScZn.

a = 5.062 Å, b = 5.062 Å, c = 10.082 Å
α = 76.81°, β = 76.81°, γ = 43.18°
Fractional coordinates of all 4 atoms:
Sc  0.440  0.440  0.625
K  0.242  0.242  0.327
K  0.086  0.086  0.923
Zn  0.732  0.732  0.625

Output
Density = 1.827 Mg/m³
Energy = -2.15 eV per atom

***

No. 17
Density functional theory data (PBE) for an optimized crystal structure of K2ScZn.

a = 12.921 Å, b = 12.921 Å, c = 12.921 Å
α = 16.08°, β = 16.08°, γ = 16.08°
Each line ends with the local moment (μB).
Fractional coordinates of all 4 atoms:
K  0.005  0.005  0.005  0.01
K  0.495  0.495  0.495  0.01
Zn  0.750  0.750  0.750  0.00
Sc  0.250  0.250  0.250  0.53

Output
Density = 2.171 Mg/m³
Energy = -1.93 eV per atom

***

No. 18
Density functional theory data (PBE) for an optimized crystal structure of K3ScZn.

a = 6.412 Å, b = 6.412 Å, c = 6.412 Å
α = 90.00°, β = 90.00°, γ = 90.00°
Each line ends with the local moment (μB).
Fractional coordinates of all 5 atoms:
K  0.500  0.000  0.000  0.00
K  0.000  0.000  0.500  0.00
K  0.000  0.500  0.000  0.00
Sc  0.500  0.500  0.500  0.84
Zn  0.000  0.000  0.000  -0.02

Output
Density = 1.434 Mg/m³
Offset from the most stable computed form = 0.000 eV/atom
Energy = -1.50 eV per atom

***

No. 19
Density functional theory data (PBE) for an optimized crystal structure of K3ScZn.

a = 7.156 Å, b = 7.156 Å, c = 7.156 Å
α = 90.00°, β = 90.00°, γ = 90.00°
Each line ends with the local moment (μB).
Fractional coordinates of all 5 atoms:
Sc  0.000  0.000  0.000  1.15
K  0.500  0.000  0.000  0.04
K  0.000  0.000  0.500  0.03
K  0.000  0.500  0.000  0.03
Zn  0.500  0.500  0.500  0.03

Output
Density = 1.031 Mg/m³
Offset from the most stable computed form = 0.241 eV/atom
Energy = -1.26 eV per atom

***

No. 20
Density functional theory data (PBE) for an optimized crystal structure of KScZn3.

a = 5.435 Å, b = 5.435 Å, c = 5.435 Å
α = 90.00°, β = 90.00°, γ = 90.00°
Fractional coordinates of all 5 atoms:
Zn  0.500  0.000  0.000
Zn  0.000  0.500  0.000
Zn  0.000  0.000  0.500
K  0.500  0.500  0.500
Sc  0.000  0.000  0.000

Output
Density = 2.899 Mg/m³
Offset from the most stable computed form = 0.000 eV/atom
Energy = -1.85 eV per atom

***

No. 21
Density functional theory data (PBE) for an optimized crystal structure of K2ScZn.

a = 3.701 Å, b = 3.701 Å, c = 10.988 Å
α = 90.00°, β = 90.00°, γ = 90.00°
Fractional coordinates of all 4 atoms:
K  0.500  0.500  0.301
K  0.000  0.000  0.921
Zn  0.500  0.500  0.688
Sc  0.000  0.000  0.590

Output
Density = 2.080 Mg/m³
Energy = -2.28 eV per atom

***

No. 22
Density functional theory data (PBE) for an optimized crystal structure of KSc2Zn.

a = 3.424 Å, b = 3.426 Å, c = 10.436 Å
α = 71.06°, β = 90.00°, γ = 90.00°
Each line ends with the local moment (μB).
Fractional coordinates of all 4 atoms:
Zn  0.500  0.250  0.250  0.01
Sc  0.000  0.904  0.094  0.23
Sc  0.000  0.596  0.406  0.23
K  0.500  0.750  0.750  0.01

Output
Density = 2.788 Mg/m³
Energy = -3.61 eV per atom

***

No. 23
Density functional theory data (PBE) for an optimized crystal structure of K2ScZn.

a = 3.498 Å, b = 3.498 Å, c = 11.760 Å
α = 90.00°, β = 90.00°, γ = 90.00°
Each line ends with the local moment (μB).
Fractional coordinates of all 4 atoms:
Sc  0.500  0.500  0.250  0.56
K  0.000  0.000  0.972  0.00
K  0.000  0.000  0.528  0.00
Zn  0.500  0.500  0.750  0.00

Output
Density = 2.176 Mg/m³
Energy = -1.95 eV per atom

***

No. 24
Density functional theory data (PBE) for an optimized crystal structure of KSc2Zn.

a = 3.474 Å, b = 5.471 Å, c = 5.541 Å
α = 90.00°, β = 90.00°, γ = 90.00°
Fractional coordinates of all 4 atoms:
Sc  0.500  0.500  0.000
Sc  0.000  0.000  0.000
K  0.000  0.500  0.500
Zn  0.500  0.000  0.500

Output
Density = 3.066 Mg/m³
Energy = -3.28 eV per atom

***

No. 25
Density functional theory data (PBE) for an optimized crystal structure of KSc2Zn.

a = 5.831 Å, b = 5.831 Å, c = 5.831 Å
α = 133.05°, β = 133.05°, γ = 68.57°
Each line ends with the local moment (μB).
Fractional coordinates of all 4 atoms:
Zn  0.500  0.500  0.000  0.01
Sc  0.000  0.000  0.000  0.12
Sc  0.250  0.750  0.500  0.12
K  0.750  0.250  0.500  0.01

Output
Density = 3.105 Mg/m³
Energy = -3.19 eV per atom

***

No. 26
Density functional theory data (PBE) for an optimized crystal structure of KSc2Zn.

a = 8.811 Å, b = 8.811 Å, c = 8.811 Å
α = 158.43°, β = 149.71°, γ = 37.49°
Each line ends with the local moment (μB).
Fractional coordinates of all 4 atoms:
Sc  0.355  0.855  0.500  0.18
Sc  0.981  0.981  0.000  0.05
Zn  0.488  0.488  0.000  0.00
K  0.677  0.177  0.500  0.00

Output
Density = 2.549 Mg/m³
Energy = -3.44 eV per atom

***

No. 27
Density functional theory data (PBE) for an optimized crystal structure of KSc2Zn.

a = 12.737 Å, b = 12.737 Å, c = 12.737 Å
α = 14.69°, β = 14.69°, γ = 14.69°
Each line ends with the local moment (μB).
Fractional coordinates of all 4 atoms:
Zn  0.000  0.000  0.000  0.02
Sc  0.076  0.076  0.076  0.23
Sc  0.924  0.924  0.924  0.23
K  0.500  0.500  0.500  0.02

Output
Density = 2.789 Mg/m³
Energy = -3.11 eV per atom

***

No. 28
Density functional theory data (PBE) for an optimized crystal structure of K2ScZn.

a = 3.523 Å, b = 3.523 Å, c = 12.162 Å
α = 90.00°, β = 90.00°, γ = 109.02°
Each line ends with the local moment (μB).
Fractional coordinates of all 4 atoms:
Sc  0.500  0.500  0.250  0.46
K  0.000  0.000  0.977  0.00
K  0.000  0.000  0.523  0.00
Zn  0.500  0.500  0.750  -0.01

Output
Density = 2.194 Mg/m³
Energy = -1.94 eV per atom

***

No. 29
Density functional theory data (PBE) for an optimized crystal structure of KSc2Zn.

a = 5.317 Å, b = 5.317 Å, c = 5.317 Å
α = 60.00°, β = 60.00°, γ = 60.00°
Fractional coordinates of all 4 atoms:
Zn  0.750  0.750  0.750
Sc  0.250  0.250  0.250
Sc  0.000  0.000  0.000
K  0.500  0.500  0.500

Output
Density = 3.038 Mg/m³
Energy = -3.16 eV per atom

***

No. 30
Density functional theory data (PBE) for an optimized crystal structure of KSc2Zn.

a = 5.938 Å, b = 5.938 Å, c = 10.043 Å
α = 72.80°, β = 72.80°, γ = 90.00°
Each line ends with the local moment (μB).
Fractional coordinates of all 8 atoms:
Sc  0.875  0.125  0.250  0.33
Sc  0.875  0.625  0.250  0.33
Sc  0.875  0.125  0.750  0.30
Sc  0.375  0.125  0.750  0.34
K  0.500  0.500  0.000  0.01
K  0.250  0.750  0.500  0.01
Zn  0.750  0.250  0.500  0.00
Zn  0.000  0.000  0.000  0.00

Output
Density = 2.007 Mg/m³
Energy = -2.99 eV per atom

***

Looking at N(E_F) for the records above, in order, we have 1.47, 1.71, 1.48, 1.30, 1.95, 3.06, 1.86, 1.57, 1.81, 1.32, 1.70, 1.68, 1.29, 1.12, 1.44, 0.92, 1.02, 1.77, 3.59, 0.88, 0.72, 1.20, 1.04, 1.24, 1.92, 1.40, 1.57, 1.20, 1.54, 0.90 states/eV per atom.
Looking at formation enthalpy at 0 K for the records above, in order, we have 0.68, 0.58, 0.52, 0.63, 0.34, 0.36, 0.59, 0.68, 0.65, 0.29, 0.59, 0.91, 0.63, 0.22, 0.39, 0.30, 0.52, 0.68, 0.92, 0.40, 0.17, 0.15, 0.50, 0.47, 0.57, 0.32, 0.64, 0.51, 0.60, 0.76 eV/atom.